[1]
The following is a DFT calculation (PBE+U) of crystalline RbCr2SbO at its relaxed geometry.

Cell lengths 4.559, 5.256, 4.559 Å; angles 90.00, 90.00, 90.00 degrees
Site moments in Bohr magnetons follow the coordinates.
Sites, in units of the cell vectors:
Cr 0.500 0.000 0.000  4.02
Cr 0.000 0.000 0.500  4.11
Rb 0.000 0.500 0.000  -0.02
O 0.000 0.000 0.000  -0.10
Sb 0.500 0.500 0.500  -0.31

Properties
ρ = 4.973 g/cm3
VASP energy = -26.01 eV for the cell shown

---

[2]
The following is a DFT calculation (PBE+U) of crystalline RbScCr2O8 at its relaxed geometry.

Cell lengths 5.636, 5.636, 7.897 Å; angles 90.00, 90.00, 120.00 degrees
Sites, in units of the cell vectors:
Rb 0.000 0.000 0.000
Sc 0.000 0.000 0.500
O 0.659 0.819 0.661
O 0.667 0.333 0.065
O 0.341 0.181 0.339
O 0.181 0.840 0.661
O 0.819 0.160 0.339
O 0.160 0.341 0.661
O 0.333 0.667 0.935
O 0.840 0.659 0.339
Cr 0.667 0.333 0.270
Cr 0.333 0.667 0.730

Properties
ρ = 2.770 g/cm3
VASP energy = -84.36 eV for the cell shown

---

[3]
The following is a DFT calculation (PBE+U) of crystalline Rb2ScCrO at its relaxed geometry.

Cell lengths 6.883, 3.814, 6.883 Å; angles 90.00, 90.00, 90.00 degrees
Site moments in Bohr magnetons follow the coordinates.
Sites, in units of the cell vectors:
Rb 0.500 0.000 0.000  0.03
Rb 0.000 0.000 0.500  0.02
Cr 0.000 0.500 0.000  3.89
O 0.000 0.000 0.000  -0.15
Sc 0.500 0.500 0.500  0.86

Properties
ρ = 2.609 g/cm3
VASP energy = -20.49 eV for the cell shown

---

[4]
The following is a DFT calculation (PBE+U) of crystalline RbCrSeO6 at its relaxed geometry.

Cell lengths 4.986, 4.986, 6.397 Å; angles 90.00, 90.00, 60.00 degrees
Site moments in Bohr magnetons follow the coordinates.
Sites, in units of the cell vectors:
Se 0.333 0.333 0.500  0.03
O 0.008 0.597 0.667  -0.06
O 0.395 0.597 0.333  -0.06
O 0.008 0.395 0.333  -0.06
O 0.597 0.008 0.333  -0.06
O 0.597 0.395 0.667  -0.06
O 0.395 0.008 0.667  -0.06
Rb 0.000 0.000 0.000  0.00
Cr 0.667 0.667 0.500  1.35

Properties
ρ = 3.767 g/cm3
VASP energy = -51.47 eV for the cell shown

---

[5]
The following is a DFT calculation (PBE+U) of crystalline Rb2CrSe2O6 at its relaxed geometry.

Cell lengths 5.455, 7.200, 7.655 Å; angles 120.02, 90.00, 112.26 degrees
Site moments in Bohr magnetons follow the coordinates.
Sites, in units of the cell vectors:
O 0.328 0.155 0.736  -0.02
O 0.672 0.845 0.264  -0.02
O 0.828 0.155 0.736  -0.02
O 0.126 0.252 0.351  0.00
O 0.172 0.845 0.264  -0.02
O 0.874 0.748 0.649  0.00
Se 0.975 0.950 0.195  0.01
Se 0.025 0.050 0.805  0.01
Rb 0.711 0.422 0.222  0.00
Rb 0.289 0.578 0.778  0.00
Cr 0.500 0.000 0.500  3.75

Properties
ρ = 3.382 g/cm3
VASP energy = -60.59 eV for the cell shown

---

[6]
The following is a DFT calculation (PBE+U) of crystalline RbCrSe2O8 at its relaxed geometry.

Cell lengths 5.042, 5.042, 9.307 Å; angles 74.28, 74.28, 60.00 degrees
Site moments in Bohr magnetons follow the coordinates.
Sites, in units of the cell vectors:
O 0.985 0.619 0.136  -0.01
O 0.015 0.381 0.864  -0.01
O 0.206 0.206 0.382  0.00
O 0.259 0.985 0.136  -0.01
O 0.794 0.794 0.618  0.00
O 0.619 0.259 0.136  -0.01
O 0.741 0.015 0.864  -0.01
O 0.381 0.741 0.864  -0.01
Cr 0.000 0.000 0.000  2.95
Rb 0.500 0.500 0.500  0.00
Se 0.268 0.268 0.196  0.01
Se 0.732 0.732 0.804  0.01

Properties
ρ = 3.612 g/cm3
VASP energy = -68.78 eV for the cell shown

---

[7]
The following is a DFT calculation (PBE+U) of crystalline Rb2CrSiO at its relaxed geometry.

Cell lengths 6.839, 3.689, 6.839 Å; angles 90.00, 90.00, 90.00 degrees
Site moments in Bohr magnetons follow the coordinates.
Sites, in units of the cell vectors:
O 0.000 0.500 0.000  -0.23
Rb 0.000 0.000 0.500  0.03
Rb 0.500 0.000 0.000  0.04
Si 0.500 0.500 0.500  0.30
Cr 0.000 0.000 0.000  3.88

Properties
ρ = 2.570 g/cm3
VASP energy = -19.86 eV for the cell shown

---

[8]
The following is a DFT calculation (PBE+U) of crystalline Rb2CrSi2O6 at its relaxed geometry.

Cell lengths 5.683, 5.683, 6.565 Å; angles 64.35, 64.35, 60.00 degrees
Site moments in Bohr magnetons follow the coordinates.
Sites, in units of the cell vectors:
Si 0.418 0.418 0.747  0.06
Si 0.582 0.582 0.253  0.06
O 0.241 0.727 0.790  0.04
O 0.241 0.241 0.790  0.04
O 0.759 0.273 0.210  0.04
O 0.727 0.241 0.790  0.04
O 0.273 0.759 0.210  0.04
O 0.759 0.759 0.210  0.04
Rb 0.215 0.215 0.355  0.00
Rb 0.785 0.785 0.645  0.00
Cr 0.000 0.000 0.000  3.12

Properties
ρ = 3.917 g/cm3
VASP energy = -72.84 eV for the cell shown

---

> The highest VASP energy belongs to which entry?

Rb2CrSiO